The following is a PBE calculation of crystalline Pm4O at its relaxed geometry, from the Alexandria database.

Geometry as POSCAR:
```
Pm4O
1.0
-3.101 3.845 -2.095
-6.265 -0.152 2.123
-0.209 7.314 6.863
O Pm
2 8
Cartesian
-7.070 4.590 1.741
-2.505 6.417 5.150
-1.543 2.825 0.592
-4.855 10.180 5.202
-4.778 6.402 5.086
-8.032 8.182 6.299
-7.858 6.416 2.848
-4.721 0.827 1.689
-4.798 4.604 1.804
-1.718 4.591 4.042
```

Results
Spin magnetization in μB/atom: 0.000
ΔE_f (raw) in eV/atom: -1.046
Crystal system: monoclinic

=====

The following is a PBE calculation of crystalline Pm2O3 at its relaxed geometry, from the Alexandria database.

Geometry as POSCAR:
```
Pm2O3
1.0
-0.622 -2.592 -2.203
8.944 -1.987 -0.186
-1.132 -5.758 7.096
Pm O
8 12
Cartesian
0.939 -3.870 2.932
-0.578 -3.040 -0.331
7.769 -7.298 5.039
5.657 -3.330 -1.749
1.534 -7.007 6.456
3.130 -6.869 3.128
4.061 -3.469 1.579
6.251 -6.468 1.775
-0.654 -5.593 2.696
7.844 -4.744 2.012
5.920 -8.014 3.689
4.840 -5.033 3.200
1.270 -2.324 1.019
1.813 -5.449 4.544
-0.407 -7.697 5.102
5.378 -4.889 0.164
2.350 -5.305 1.508
3.369 -3.482 -0.924
3.822 -6.855 5.632
7.598 -2.641 -0.394
```

Results
Spin magnetization in μB/atom: 0.000
ΔE_f (raw) in eV/atom: -3.296
Crystal system: orthorhombic

=====

The following is a PBE calculation of crystalline Pm2O3 at its relaxed geometry, from the Alexandria database.

Geometry as POSCAR:
```
Pm2O3
1.0
-3.571 -0.497 1.266
2.641 -2.691 0.624
1.479 2.663 5.217
Pm O
2 3
Cartesian
1.678 0.035 4.746
-1.129 -0.560 2.362
-0.236 1.048 5.514
0.785 -1.574 1.594
0.740 1.331 2.608
```

Results
Spin magnetization in μB/atom: 0.000
ΔE_f (raw) in eV/atom: -3.382
Crystal system: trigonal

=====

The following is a PBE calculation of crystalline Pm4O at its relaxed geometry, from the Alexandria database.

Geometry as POSCAR:
```
Pm4O
1.0
5.086 0.000 0.000
0.000 5.086 0.000
0.000 0.000 5.086
Pm O
4 1
Cartesian
2.543 2.543 0.000
0.000 0.000 0.000
0.000 2.543 2.543
2.543 0.000 2.543
2.543 2.543 2.543
```

Results
Spin magnetization in μB/atom: 0.000
ΔE_f (raw) in eV/atom: -1.087
Crystal system: cubic

=====

The following is a PBE calculation of crystalline PmO at its relaxed geometry, from the Alexandria database.

Geometry as POSCAR:
```
PmO
1.0
3.399 0.000 0.000
-1.699 2.944 0.000
0.000 0.000 3.208
O Pm
1 1
Cartesian
1.699 0.981 1.604
0.000 0.000 0.000
```

Results
Spin magnetization in μB/atom: 0.156
ΔE_f (raw) in eV/atom: -2.493
Crystal system: hexagonal

=====

The following is a PBE calculation of crystalline PmO at its relaxed geometry, from the Alexandria database.

Geometry as POSCAR:
```
PmO
1.0
-2.416 -2.181 1.378
-2.198 -1.772 -2.126
0.350 -3.496 -0.387
O Pm
1 1
Cartesian
0.000 0.000 0.000
-2.132 -3.725 -0.567
```

Results
Spin magnetization in μB/atom: 0.000
ΔE_f (raw) in eV/atom: -2.757
Crystal system: cubic

=====

The following is a PBE calculation of crystalline PmPr2O4 at its relaxed geometry, from the Alexandria database.

Geometry as POSCAR:
```
PmPr2O4
1.0
7.132 0.260 -0.114
-0.255 7.132 0.116
-3.353 -3.774 5.046
Pm Pr O
2 4 8
Cartesian
-0.255 7.131 0.116
-0.085 3.527 2.581
3.523 1.893 1.234
3.396 5.459 1.292
1.847 0.007 3.757
-1.719 -0.123 3.814
3.567 1.794 3.712
1.737 3.616 1.245
3.692 -1.649 3.655
5.310 0.171 1.222
0.127 -1.781 3.802
0.002 1.663 3.858
1.866 0.048 1.276
5.180 3.739 1.191
```

Results
Spin magnetization in μB/atom: 0.045
ΔE_f (raw) in eV/atom: -3.027
Crystal system: cubic

=====

The following is a PBE calculation of crystalline PmPr3O4 at its relaxed geometry, from the Alexandria database.

Geometry as POSCAR:
```
PmPr3O4
1.0
6.227 0.067 0.000
-2.119 5.875 0.000
0.000 0.000 7.124
O Pr Pm
8 6 2
Cartesian
2.597 1.425 6.268
5.682 1.477 4.489
1.511 4.517 0.856
5.710 1.459 0.856
2.568 1.444 2.635
-1.574 4.465 2.635
-1.602 4.484 6.268
1.539 4.499 4.489
4.670 0.051 2.677
1.557 0.017 4.447
0.497 2.954 6.229
3.611 2.988 0.896
3.611 2.988 4.446
0.497 2.954 2.678
4.670 0.051 6.229
1.557 0.017 0.895
```

Results
Spin magnetization in μB/atom: 0.000
ΔE_f (raw) in eV/atom: -2.720
Crystal system: monoclinic